No. 1
# NaInSbTe2 (PBE, relaxed)
data_NaInSbTe2
_chemical_formula_sum 'Na1 In1 Sb1 Te2'
_cell_length_a 5.6750
_cell_length_b 5.6750
_cell_length_c 5.4242
_cell_angle_alpha 90.00
_cell_angle_beta 90.00
_cell_angle_gamma 90.00
_space_group_name_H-M_alt 'P 1'
_space_group_IT_number 1
_space_group_name_Hall 'P 1'
loop_
_atom_site_label
_atom_site_fract_x
_atom_site_fract_y
_atom_site_fract_z
_atom_site_occupancy
Te1 0.5000 0.0000 0.0000 1
Te2 0.0000 0.5000 0.0000 1
Sb1 0.0000 0.0000 0.5000 1
In1 0.5000 0.5000 0.5000 1
Na1 0.0000 0.0000 0.0000 1
# E_form (uncorrected) = 0.44 eV per atom
# energy above the lowest structure with this stoichiometry = 5.95 kcal/mol of atoms
# D(E_F) = 1.225 states/eV per atom

No. 2
# BaZnCd2 (PBE, relaxed)
data_BaZnCd2
_chemical_formula_sum 'Ba1 Zn1 Cd2'
_cell_length_a 4.5137
_cell_length_b 4.1158
_cell_length_c 6.7733
_cell_angle_alpha 73.78
_cell_angle_beta 90.00
_cell_angle_gamma 90.00
_space_group_name_H-M_alt 'P 1'
_space_group_IT_number 1
_space_group_name_Hall 'P 1'
loop_
_atom_site_label
_atom_site_fract_x
_atom_site_fract_y
_atom_site_fract_z
_atom_site_occupancy
Zn1 0.5000 0.2500 0.2500 1
Ba1 0.5000 0.7500 0.7500 1
Cd1 0.0000 0.0711 0.0684 1
Cd2 0.0000 0.4289 0.4316 1
# D(E_F) = 0.460 states/eV per atom
# DFT formation energy = -0.1287 eV per atom

No. 3
# SrY2W (PBE, relaxed)
data_SrY2W
_chemical_formula_sum 'Sr1 Y2 W1'
_cell_length_a 5.3255
_cell_length_b 5.3255
_cell_length_c 5.3255
_cell_angle_alpha 60.00
_cell_angle_beta 60.00
_cell_angle_gamma 60.00
_space_group_name_H-M_alt 'P 1'
_space_group_IT_number 1
_space_group_name_Hall 'P 1'
loop_
_atom_site_label
_atom_site_fract_x
_atom_site_fract_y
_atom_site_fract_z
_atom_site_occupancy
Y1 0.2500 0.2500 0.2500 1
Y2 0.7500 0.7500 0.7500 1
W1 0.5000 0.5000 0.5000 1
Sr1 0.0000 0.0000 0.0000 1
# energy above the lowest structure with this stoichiometry = 7.15 kcal/mol of atoms
# D(E_F) = 1.942 states/eV per atom
# DFT formation energy = 0.7443 eV per atom

Which formula does entry 2 have? BaZnCd2

D(E_F) of number 3 (SrY2W)? 1.942 states/eV per atom